[1]
ErGa4Cu2Rh after structural relaxation. Source: Alexandria, functional GGA-PBE.

a = 9.121 Å, b = 9.121 Å, c = 9.121 Å
α = 26.37°, β = 26.37°, γ = 26.37°
Sites, in units of the cell vectors:
Er 0.000 0.000 0.000
Ga 0.128 0.128 0.128
Ga 0.400 0.400 0.400
Ga 0.600 0.600 0.600
Ga 0.872 0.872 0.872
Cu 0.239 0.239 0.239
Cu 0.761 0.761 0.761
Rh 0.500 0.500 0.500

calculated density	8.51	g/cm3
energy of formation	-0.3885	eV per atom
calculated volume	131.9	Å³/f.u.
M_tot	0.000	μB/atom


[2]
Er2Ga4Cu3Rh after structural relaxation. Source: Alexandria, functional GGA-PBE.

a = 4.006 Å, b = 4.006 Å, c = 10.663 Å
α = 90.00°, β = 90.00°, γ = 90.00°
Sites, in units of the cell vectors:
Er 0.000 0.500 0.246
Er 0.500 0.000 0.754
Ga 0.000 0.000 0.000
Ga 0.000 0.500 0.638
Ga 0.500 0.000 0.362
Ga 0.500 0.500 0.000
Cu 0.000 0.500 0.862
Cu 0.500 0.000 0.138
Cu 0.500 0.500 0.500
Rh 0.000 0.000 0.500

calculated density	8.80	g/cm3
energy of formation	-0.5084	eV per atom
calculated volume	171.2	Å³/f.u.
M_tot	0.000	μB/atom


[3]
Er4GaCuRu2 after structural relaxation. Source: Alexandria, functional GGA-PBE.

a = 8.401 Å, b = 8.401 Å, c = 8.401 Å
α = 33.58°, β = 33.58°, γ = 33.58°
Sites, in units of the cell vectors:
Er 0.122 0.122 0.122
Er 0.373 0.373 0.373
Er 0.627 0.627 0.627
Er 0.878 0.878 0.878
Ga 0.500 0.500 0.500
Cu 0.000 0.000 0.000
Ru 0.249 0.249 0.249
Ru 0.751 0.751 0.751

calculated density	10.33	g/cm3
energy of formation	-0.4252	eV per atom
calculated volume	161.5	Å³/f.u.
M_tot	0.000	μB/atom


[4]
Er4GaCu2Ru after structural relaxation. Source: Alexandria, functional GGA-PBE.

a = 8.457 Å, b = 8.457 Å, c = 8.457 Å
α = 33.55°, β = 33.55°, γ = 33.55°
Sites, in units of the cell vectors:
Er 0.120 0.120 0.120
Er 0.371 0.371 0.371
Er 0.629 0.629 0.629
Er 0.880 0.880 0.880
Ga 0.500 0.500 0.500
Cu 0.247 0.247 0.247
Cu 0.753 0.753 0.753
Ru 0.000 0.000 0.000

calculated density	9.76	g/cm3
energy of formation	-0.4321	eV per atom
calculated volume	164.5	Å³/f.u.
M_tot	0.000	μB/atom


[5]
ErScGa2Cu2 after structural relaxation. Source: Alexandria, functional GGA-PBE.

a = 4.294 Å, b = 4.294 Å, c = 6.707 Å
α = 90.00°, β = 90.00°, γ = 120.00°
Sites, in units of the cell vectors:
Er 0.000 0.000 0.000
Sc 0.000 0.000 0.500
Ga 0.333 0.667 0.278
Ga 0.667 0.333 0.722
Cu 0.333 0.667 0.719
Cu 0.667 0.333 0.281

calculated density	7.42	g/cm3
energy of formation	-0.5143	eV per atom
calculated volume	107.1	Å³/f.u.
M_tot	0.000	μB/atom


[6]
ErSc2Ga2Cu2 after structural relaxation. Source: Alexandria, functional GGA-PBE.

a = 8.791 Å, b = 8.791 Å, c = 8.791 Å
α = 28.32°, β = 28.32°, γ = 28.32°
Sites, in units of the cell vectors:
Er 0.000 0.000 0.000
Sc 0.128 0.128 0.128
Sc 0.872 0.872 0.872
Ga 0.256 0.256 0.256
Ga 0.744 0.744 0.744
Cu 0.408 0.408 0.408
Cu 0.592 0.592 0.592

calculated density	6.44	g/cm3
energy of formation	-0.4162	eV per atom
calculated volume	135.1	Å³/f.u.
M_tot	0.000	μB/atom


no.,N(E_F) (states/eV per cell)
1,2.7
2,4.6
3,5.4
4,4.2
5,3.6
6,3.2